4
Lattice="-0.554 3.531 2.910 1.835 4.111 -0.988 -2.734 3.528 -1.150" Properties=species:S:1:pos:R:3 comment="PBE-GGA Sc2MnCr, relaxed" space_group="No. 225" ef_ev_per_atom=0.215 pbc="T T T"
Mn -0.726 5.585 0.386
Sc -0.363 2.792 0.193
Sc -1.089 8.377 0.579
Cr 0.000 0.000 0.000

10
Lattice="4.375 0.000 0.000 0.000 4.375 0.000 0.000 0.000 10.545" Properties=species:S:1:pos:R:3 comment="PBE-GGA Ac2MgZn3Rh4, relaxed" space_group="No. 115" ef_ev_per_atom=-0.531 pbc="T T T"
Rh 0.000 2.188 3.801
Rh 2.188 2.188 0.000
Rh 0.000 0.000 0.000
Rh 2.188 0.000 6.744
Ac 0.000 2.188 8.102
Ac 2.188 0.000 2.443
Zn 2.188 0.000 9.274
Zn 0.000 0.000 5.272
Zn 0.000 2.188 1.271
Mg 2.188 2.188 5.272

4
Lattice="4.494 -0.001 0.010 3.420 2.915 0.010 -1.450 -0.534 7.283" Properties=species:S:1:pos:R:3 comment="PBE-GGA MnOsCl2, relaxed" final_energy_ev_per_atom=-5.815 space_group="No. 8" pbc="T T T"
Os 0.922 0.340 3.147
Mn 3.125 1.151 2.156
Cl 0.614 0.226 0.771
Cl 5.034 1.854 4.880

5
Lattice="6.051 0.000 0.000 0.000 6.051 0.000 0.000 0.000 3.350" Properties=species:S:1:pos:R:3 comment="PBE-GGA AlHI2O, relaxed" final_energy_ev_per_atom=-3.441 space_group="No. 123" pbc="T T T"
H 3.026 3.026 1.675
I 0.000 3.026 0.000
I 3.026 0.000 0.000
Al 0.000 0.000 0.000
O 0.000 0.000 1.675

5
Lattice="-5.279 -0.303 -0.559 -0.337 -2.633 4.608 -0.538 4.597 2.587" Properties=species:S:1:pos:R:3 comment="PBE-GGA La2ZnCdRu, relaxed" space_group="No. 123" ef_ev_per_atom=-0.119 pbc="T T T"
La -2.640 -0.151 -0.279
La -0.168 -1.316 2.304
Zn -3.077 0.831 3.318
Ru 0.000 0.000 0.000
Cd -0.269 2.298 1.293

10
Lattice="4.272 0.000 0.000 0.000 4.272 0.000 0.000 0.000 11.417" Properties=species:S:1:pos:R:3 comment="PBE-GGA TbNd2Ga3Pt4, relaxed" space_group="No. 115" ef_ev_per_atom=-0.974 pbc="T T T"
Nd 0.000 2.136 8.830
Nd 2.136 0.000 2.586
Tb 2.136 2.136 5.708
Ga 0.000 0.000 5.708
Ga 2.136 0.000 10.014
Ga 0.000 2.136 1.403
Pt 2.136 0.000 7.511
Pt 2.136 2.136 0.000
Pt 0.000 2.136 3.905
Pt 0.000 0.000 0.000

4
Lattice="6.454 -0.001 0.000 -3.217 5.595 0.000 0.703 1.215 2.955" Properties=species:S:1:pos:R:3 comment="PBE-GGA SrSc2Cr, relaxed" space_group="No. 12" ef_ev_per_atom=0.627 pbc="T T T"
Sc 1.618 2.797 0.000
Sc 0.000 0.000 0.000
Sr 3.578 0.607 1.477
Cr -1.257 3.405 1.477

4
Lattice="-2.204 1.346 4.243 0.200 -2.991 3.960 2.753 1.269 3.935" Properties=species:S:1:pos:R:3 comment="PBE-GGA LiPmTmRh, relaxed" space_group="No. 216" ef_ev_per_atom=-0.449 pbc="T T T"
Tm 0.187 -0.094 3.034
Rh 0.375 -0.188 6.069
Li 0.000 0.000 0.000
Pm 0.562 -0.282 9.103

12
Lattice="1.016 0.722 7.499 0.474 -6.052 0.518 5.304 3.599 1.359" Properties=species:S:1:pos:R:3 comment="PBE-GGA CsZnH4, relaxed" final_energy_ev_per_atom=-2.676 space_group="No. 12" pbc="T T T"
H 1.592 -3.870 5.479
H 2.382 -2.698 2.129
H 5.418 -0.619 4.133
H 0.207 -2.644 0.227
H 0.267 -3.408 0.292
H 5.202 2.139 3.896
H 4.412 0.967 7.247
H 1.376 -1.112 5.243
Zn 0.815 -2.788 2.505
Zn 5.979 1.057 6.871
Cs 4.276 -2.172 6.528
Cs 2.518 0.441 2.848

4
Lattice="3.390 0.000 0.000 -1.695 2.937 0.002 0.000 -1.949 7.426" Properties=species:S:1:pos:R:3 comment="PBE-GGA Zr2SnC, relaxed" space_group="No. 12" ef_ev_per_atom=-0.727 pbc="T T T"
Sn 0.847 1.469 0.001
Zr 0.847 1.473 4.951
Zr 0.847 -0.485 2.477
C -0.847 0.494 3.714

7
Lattice="-1.007 4.318 2.467 -2.790 1.593 -3.928 -7.649 -0.028 2.144" Properties=species:S:1:pos:R:3 comment="PBE-GGA Li2In4Rh, relaxed" space_group="No. 139" ef_ev_per_atom=-0.082 pbc="T T T"
In -1.395 0.796 -1.964
In -0.504 2.159 1.233
In -5.980 4.778 -0.370
In -5.466 1.105 1.052
Rh 0.000 0.000 0.000
Li -3.221 2.270 -0.070
Li -8.225 3.614 0.752

8
Lattice="-3.202 4.085 7.413 -1.232 -8.066 3.913 0.618 -1.863 6.818" Properties=species:S:1:pos:R:3 comment="PBE-GGA La2YGe, relaxed" space_group="No. 122" ef_ev_per_atom=-0.207 pbc="T T T"
Y -2.400 0.116 9.947
Y 0.000 0.000 0.000
Ge -2.217 -1.990 5.663
Ge -1.415 -5.960 8.197
La -1.846 0.882 6.469
La -3.356 -4.491 14.835
La -1.259 -3.280 9.550
La -1.170 -4.799 5.435

20
Lattice="-0.532 -2.636 -7.869 6.276 -1.272 -3.953 1.416 -7.208 -1.637" Properties=species:S:1:pos:R:3 comment="PBE-GGA KPaHg2O6, relaxed" final_energy_ev_per_atom=-5.579 space_group="No. 12" pbc="T T T"
O 3.469 -3.216 -7.893
O 1.305 -4.866 -2.800
O 1.029 -0.661 -1.062
O 6.933 -8.483 -8.718
O 4.341 -5.555 -3.603
O 2.552 -4.895 -5.667
O 4.609 -6.221 -7.793
O 3.692 -7.900 -5.566
O 6.132 -10.455 -12.397
O 5.856 -6.250 -10.659
O 0.227 -2.633 -4.742
O 2.820 -5.561 -9.856
K 4.929 -3.414 -5.342
K 2.232 -7.701 -8.118
Pa 4.662 -4.733 -9.276
Pa 2.499 -6.382 -4.183
Hg 1.524 -4.096 -7.299
Hg 5.371 -8.337 -10.095
Hg 1.790 -2.779 -3.365
Hg 5.636 -7.019 -6.160

20
Lattice="3.308 0.000 0.000 0.000 10.385 0.000 0.000 0.000 10.385" Properties=species:S:1:pos:R:3 comment="PBE-GGA Tb2Al2GaPd5, relaxed" space_group="No. 127" ef_ev_per_atom=-0.757 pbc="T T T"
Tb 0.000 7.015 1.822
Tb 0.000 1.822 3.370
Tb 0.000 3.370 8.563
Tb 0.000 8.563 7.015
Pd 1.654 5.192 0.000
Pd 1.654 3.122 5.718
Pd 1.654 0.526 8.314
Pd 1.654 9.859 2.071
Pd 1.654 5.718 7.263
Pd 1.654 4.667 3.122
Pd 1.654 8.314 9.859
Pd 1.654 2.071 0.526
Pd 1.654 7.263 4.667
Pd 1.654 0.000 5.192
Al 0.000 6.508 9.069
Al 0.000 1.316 6.508
Al 0.000 3.876 1.316
Al 0.000 9.069 3.876
Ga 0.000 0.000 0.000
Ga 0.000 5.192 5.192

8
Lattice="-5.827 1.674 7.472 -8.297 3.766 3.092 5.818 -5.103 -5.719" Properties=species:S:1:pos:R:3 comment="PBE-GGA TeMo3, relaxed" final_energy_ev_per_atom=-8.407 space_group="No. 139" pbc="T T T"
Mo -0.005 -1.715 0.877
Mo -3.536 -0.355 3.518
Mo -12.293 4.735 9.194
Mo -4.771 0.692 1.328
Mo -1.831 0.705 1.370
Mo -1.240 -0.668 -1.313
Te -8.816 3.395 6.594
Te -5.309 2.045 3.970

12
Lattice="3.759 0.000 0.000 0.000 3.887 -0.001 0.000 -1.940 13.046" Properties=species:S:1:pos:R:3 comment="PBE-GGA Pa3Ga2Ni7, relaxed" space_group="No. 65" ef_ev_per_atom=-0.372 pbc="T T T"
Ga 1.879 0.002 9.664
Ga 1.879 1.945 3.381
Ni 1.879 1.944 5.772
Ni 0.000 0.000 0.000
Ni 0.000 0.003 11.170
Ni 1.879 0.003 7.274
Ni 0.000 1.944 1.875
Ni 1.879 1.946 11.150
Ni 1.879 0.001 1.895
Pa 0.000 1.946 8.194
Pa 0.000 0.001 4.851
Pa 1.879 1.943 -0.001

3
Lattice="3.215 0.000 0.000 0.000 3.215 0.000 -1.608 -1.608 2.991" Properties=species:S:1:pos:R:3 comment="PBE-GGA MnFeN, relaxed" final_energy_ev_per_atom=-7.928 space_group="No. 107" pbc="T T T"
Mn 1.608 1.608 2.586
Fe 0.000 0.000 1.813
N 1.608 1.608 0.687

13
Lattice="5.312 0.000 0.000 2.656 4.600 0.000 2.656 1.533 9.469" Properties=species:S:1:pos:R:3 comment="PBE-GGA Ti3Sn2Pd8, relaxed" space_group="No. 166" ef_ev_per_atom=-0.311 pbc="T T T"
Pd 5.312 4.599 6.177
Pd 6.639 2.301 6.177
Pd 6.639 3.833 3.292
Pd 5.312 1.535 3.292
Pd 3.985 2.301 6.177
Pd 2.656 1.533 1.618
Pd 3.985 3.833 3.292
Pd 7.968 4.600 7.851
Ti 2.656 1.533 4.089
Ti 0.000 0.000 0.000
Ti 7.968 4.600 5.380
Sn 5.312 3.067 8.468
Sn 5.312 3.067 1.001

9
Lattice="3.894 0.000 0.000 0.000 5.995 -3.461 0.000 0.000 6.922" Properties=species:S:1:pos:R:3 comment="PBE-GGA PrY2Ni6, relaxed" space_group="No. 191" ef_ev_per_atom=-0.348 pbc="T T T"
Ni 1.947 0.000 2.321
Ni 1.947 0.000 4.601
Ni 1.947 3.984 2.300
Ni 1.947 3.984 4.622
Ni 1.947 2.010 1.161
Ni 1.947 2.010 -1.161
Y 3.894 3.996 0.000
Y 0.000 1.998 3.461
Pr 0.000 0.000 0.000

12
Lattice="6.376 -0.003 0.014 -3.189 5.522 0.014 -1.085 -1.879 11.908" Properties=species:S:1:pos:R:3 comment="PBE-GGA CaPm6Pr3Y2, relaxed" space_group="No. 12" ef_ev_per_atom=0.039 pbc="T T T"
Pr 4.244 -0.024 5.968
Pr 1.051 1.820 5.968
Pr -2.142 3.664 5.968
Pm -1.087 1.873 2.970
Pm 2.166 -0.006 2.970
Pm -0.064 3.646 8.967
Pm 3.190 1.767 8.967
Pm 0.001 0.002 8.949
Pm 2.101 3.638 2.988
Ca 0.000 0.000 0.000
Y -0.001 3.681 0.014
Y 3.189 1.838 0.014

Number 1: volume 17.31 Å³ per atom. Number 2: volume 20.19 Å³ per atom. Number 3: volume 23.87 Å³ per atom. Number 4: volume 24.54 Å³ per atom. Number 5: volume 29.98 Å³ per atom. Number 6: volume 20.84 Å³ per atom. Number 7: volume 26.68 Å³ per atom. Number 8: volume 21.66 Å³ per atom. Number 9: volume 20.40 Å³ per atom. Number 10: volume 18.49 Å³ per atom. Number 11: volume 26.07 Å³ per atom. Number 12: volume 31.36 Å³ per atom. Number 13: volume 17.18 Å³ per atom. Number 14: volume 17.84 Å³ per atom. Number 15: volume 17.11 Å³ per atom. Number 16: volume 15.88 Å³ per atom. Number 17: volume 10.31 Å³ per atom. Number 18: volume 17.80 Å³ per atom. Number 19: volume 17.95 Å³ per atom. Number 20: volume 34.96 Å³ per atom.